Entry from Alexandria via LeMat-Bulk: SrZnCrP2O8 at its PBEsol-relaxed geometry (meta-GGA SCAN).

Unit cell a=5.5706 b=6.7008 c=9.2030 alpha=109.29 beta=101.87 gamma=99.30
Last column: nearest neighbours and their distance in Å.
Fractional coordinates of all 26 atoms:
Sr: 0.2453 0.2024 0.4422  7 O 2.50-2.78
Sr: 0.7547 0.7976 0.5578  7 O 2.50-2.78
Zn: 0.4911 0.5990 0.8620  4 O 1.96-2.17
Zn: 0.5089 0.4010 0.1380  4 O 1.96-2.17
Cr: 0.1386 0.8434 0.0428  4 O 1.98-2.05
Cr: 0.8614 0.1566 0.9572  4 O 1.98-2.05
P: 0.1118 0.5792 0.2671  4 O 1.53-1.58
P: 0.3345 0.0235 0.7936  4 O 1.52-1.59
P: 0.6655 0.9765 0.2064  4 O 1.52-1.59
P: 0.8882 0.4208 0.7329  4 O 1.53-1.58
O: 0.1142 0.9282 0.8509  1 P 1.56
O: 0.1389 0.4113 0.1072  1 P 1.58
O: 0.1541 0.4787 0.7070  1 P 1.56
O: 0.1575 0.8040 0.2526  1 P 1.54
O: 0.2384 0.9868 0.6179  1 P 1.52
O: 0.3184 0.5666 0.4001  1 P 1.53
O: 0.4487 0.0983 0.1782  1 P 1.59
O: 0.4495 0.2709 0.9007  1 P 1.56
O: 0.5505 0.7291 0.0993  1 P 1.56
O: 0.5513 0.9017 0.8218  1 P 1.59
O: 0.6816 0.4334 0.5999  1 P 1.53
O: 0.7616 0.0132 0.3821  1 P 1.52
O: 0.8425 0.1960 0.7474  1 P 1.54
O: 0.8459 0.5213 0.2930  1 P 1.56
O: 0.8611 0.5887 0.8928  1 P 1.58
O: 0.8858 0.0718 0.1491  1 P 1.56

Summary:
final energy	-12.164	eV per atom

***

Entry from Alexandria via LeMat-Bulk: Ti2CrP3O12 at its PBEsol-relaxed geometry (meta-GGA SCAN).

Unit cell a=8.5316 b=8.5316 c=8.5316 alpha=60.40 beta=60.40 gamma=60.40
Last column: nearest neighbours and their distance in Å.
Fractional coordinates of all 36 atoms:
Ti: 0.1434 0.1434 0.1434  6 O 1.91-2.04
Ti: 0.3566 0.3566 0.3566  6 O 1.91-2.04
Ti: 0.6434 0.6434 0.6434  6 O 1.91-2.04
Ti: 0.8566 0.8566 0.8566  6 O 1.91-2.04
Cr: 0.0000 0.0000 0.0000  6 O 2.20
Cr: 0.5000 0.5000 0.5000  6 O 2.20
P: 0.0435 0.7500 0.4565  4 O 1.53-1.55
P: 0.2500 0.5435 0.9565  4 O 1.53-1.55
P: 0.4565 0.0435 0.7500  4 O 1.53-1.55
P: 0.5435 0.9565 0.2500  4 O 1.53-1.55
P: 0.7500 0.4565 0.0435  4 O 1.53-1.55
P: 0.9565 0.2500 0.5435  4 O 1.53-1.55
O: 0.9998 0.1850 0.3839  1 P 1.53
O: 0.0002 0.8150 0.6161  1 P 1.53
O: 0.0581 0.9125 0.2605  1 P 1.55
O: 0.0875 0.7395 0.9419  1 P 1.55
O: 0.1161 0.3150 0.5002  1 P 1.53
O: 0.1850 0.3839 0.9998  1 P 1.53
O: 0.2395 0.5875 0.4419  1 P 1.55
O: 0.2605 0.0581 0.9125  1 P 1.55
O: 0.3150 0.5002 0.1161  1 P 1.53
O: 0.3839 0.9998 0.1850  1 P 1.53
O: 0.4125 0.5581 0.7605  1 P 1.55
O: 0.4419 0.2395 0.5875  1 P 1.55
O: 0.5002 0.1161 0.3150  1 P 1.53
O: 0.4998 0.8839 0.6850  1 P 1.53
O: 0.5581 0.7605 0.4125  1 P 1.55
O: 0.5875 0.4419 0.2395  1 P 1.55
O: 0.6161 0.0002 0.8150  1 P 1.53
O: 0.6850 0.4998 0.8839  1 P 1.53
O: 0.7395 0.9419 0.0875  1 P 1.55
O: 0.7605 0.4125 0.5581  1 P 1.55
O: 0.8150 0.6161 0.0002  1 P 1.53
O: 0.8839 0.6850 0.4998  1 P 1.53
O: 0.9125 0.2605 0.0581  1 P 1.55
O: 0.9419 0.0875 0.7395  1 P 1.55

Summary:
final energy	-11.369	eV per atom
DOS at the Fermi energy	0.51	states/eV/atom

***

Entry from Alexandria via LeMat-Bulk: Ti3CrP6O24 at its PBEsol-relaxed geometry (meta-GGA SCAN).

Unit cell a=8.7124 b=8.7124 c=8.7124 alpha=58.18 beta=58.18 gamma=58.18
Last column: nearest neighbours and their distance in Å.
Fractional coordinates of all 34 atoms:
Ti: 0.0000 0.0000 0.0000  6 O 1.91-1.98
Ti: 0.2230 0.2230 0.2230  6 O 1.89-1.95
Ti: 0.7199 0.7199 0.7199  6 O 1.92-1.93
Cr: 0.5009 0.5009 0.5009  6 O 1.79-1.85
P: 0.1200 0.8254 0.3862  4 O 1.51-1.58
P: 0.3301 0.6128 0.8885  4 O 1.52-1.56
P: 0.3862 0.1200 0.8254  4 O 1.51-1.58
P: 0.6128 0.8885 0.3301  4 O 1.52-1.56
P: 0.8254 0.3862 0.1200  4 O 1.51-1.58
P: 0.8885 0.3301 0.6128  4 O 1.52-1.56
O: 0.0799 0.2743 0.4557  1 P 1.53
O: 0.1147 0.8436 0.2051  1 P 1.52
O: 0.1629 0.8054 0.8851  1 P 1.53
O: 0.1655 0.9863 0.3571  1 P 1.51
O: 0.2051 0.1147 0.8436  1 P 1.52
O: 0.2743 0.4557 0.0799  1 P 1.53
O: 0.2892 0.6327 0.4378  1 P 1.58
O: 0.3571 0.1655 0.9863  1 P 1.51
O: 0.3668 0.5644 0.7205  1 P 1.56
O: 0.4378 0.2892 0.6327  1 P 1.58
O: 0.4557 0.0799 0.2743  1 P 1.53
O: 0.5107 0.6217 0.8664  1 P 1.52
O: 0.5608 0.9374 0.8059  1 P 1.53
O: 0.5644 0.7205 0.3668  1 P 1.56
O: 0.6217 0.8664 0.5107  1 P 1.52
O: 0.6327 0.4378 0.2892  1 P 1.58
O: 0.7205 0.3668 0.5644  1 P 1.56
O: 0.8054 0.8851 0.1629  1 P 1.53
O: 0.8059 0.5608 0.9374  1 P 1.53
O: 0.8436 0.2051 0.1147  1 P 1.52
O: 0.8664 0.5107 0.6217  1 P 1.52
O: 0.8851 0.1629 0.8054  1 P 1.53
O: 0.9374 0.8059 0.5608  1 P 1.53
O: 0.9863 0.3571 0.1655  1 P 1.51

Summary:
final energy	-10.752	eV per atom

***

Entry from Alexandria via LeMat-Bulk: TiCr3P6O24 at its PBEsol-relaxed geometry (meta-GGA SCAN).

Unit cell a=8.6170 b=8.6170 c=8.6170 alpha=57.56 beta=57.56 gamma=57.56
Last column: nearest neighbours and their distance in Å.
Fractional coordinates of all 34 atoms:
Ti: 0.0000 0.0000 0.0000  6 O 1.92-1.95
Cr: 0.2842 0.2842 0.2842  6 O 1.86-1.88
Cr: 0.5011 0.5011 0.5011  6 O 1.83-1.84
Cr: 0.7814 0.7814 0.7814  6 O 1.83-1.87
P: 0.1088 0.6632 0.4003  4 O 1.53-1.54
P: 0.1750 0.6085 0.8897  4 O 1.52-1.54
P: 0.4003 0.1088 0.6632  4 O 1.53-1.54
P: 0.6085 0.8897 0.1750  4 O 1.52-1.54
P: 0.6632 0.4003 0.1088  4 O 1.53-1.54
P: 0.8897 0.1750 0.6085  4 O 1.52-1.54
O: 0.0087 0.6386 0.8447  1 P 1.54
O: 0.0920 0.1699 0.4445  1 P 1.54
O: 0.1151 0.8269 0.2002  1 P 1.53
O: 0.1283 0.4716 0.4075  1 P 1.54
O: 0.1574 0.7978 0.8819  1 P 1.52
O: 0.1699 0.4445 0.0920  1 P 1.54
O: 0.2002 0.1151 0.8269  1 P 1.53
O: 0.2691 0.6318 0.4543  1 P 1.53
O: 0.3745 0.5400 0.7349  1 P 1.54
O: 0.4075 0.1283 0.4716  1 P 1.54
O: 0.4445 0.0920 0.1699  1 P 1.54
O: 0.4543 0.2691 0.6318  1 P 1.53
O: 0.4716 0.4075 0.1283  1 P 1.54
O: 0.5400 0.7349 0.3745  1 P 1.54
O: 0.5552 0.9092 0.7284  1 P 1.54
O: 0.6318 0.4543 0.2691  1 P 1.53
O: 0.6386 0.8447 0.0087  1 P 1.54
O: 0.7284 0.5552 0.9092  1 P 1.54
O: 0.7349 0.3745 0.5400  1 P 1.54
O: 0.7978 0.8819 0.1574  1 P 1.52
O: 0.8269 0.2002 0.1151  1 P 1.53
O: 0.8447 0.0087 0.6386  1 P 1.54
O: 0.8819 0.1574 0.7978  1 P 1.52
O: 0.9092 0.7284 0.5552  1 P 1.54

Summary:
final energy	-10.659	eV per atom
DOS at the Fermi energy	0.33	states/eV/atom

***

Entry from Alexandria via LeMat-Bulk: TiCrP3O12 at its PBEsol-relaxed geometry (meta-GGA SCAN).

Unit cell a=8.6273 b=8.6273 c=8.6273 alpha=58.80 beta=58.80 gamma=58.80
Last column: nearest neighbours and their distance in Å.
Fractional coordinates of all 34 atoms:
Ti: 0.0000 0.0000 0.0000  6 O 1.91-1.93
Ti: 0.5000 0.5000 0.5000  6 O 1.91-1.93
Cr: 0.2776 0.2776 0.2776  6 O 1.82-1.88
Cr: 0.7776 0.7776 0.7776  6 O 1.82-1.88
P: 0.1018 0.3981 0.6626  4 O 1.51-1.55
P: 0.1626 0.8981 0.6018  4 O 1.51-1.55
P: 0.3981 0.6626 0.1018  4 O 1.51-1.55
P: 0.6018 0.1626 0.8981  4 O 1.51-1.55
P: 0.6626 0.1018 0.3981  4 O 1.51-1.55
P: 0.8981 0.6018 0.1626  4 O 1.51-1.55
O: 0.0658 0.2283 0.8480  1 P 1.53
O: 0.0791 0.4186 0.1844  1 P 1.55
O: 0.1301 0.3690 0.4862  1 P 1.54
O: 0.1362 0.9300 0.7718  1 P 1.51
O: 0.1844 0.0791 0.4186  1 P 1.55
O: 0.2283 0.8480 0.0658  1 P 1.53
O: 0.2718 0.4300 0.6362  1 P 1.51
O: 0.3480 0.7283 0.5658  1 P 1.53
O: 0.3690 0.4862 0.1301  1 P 1.54
O: 0.4186 0.1844 0.0791  1 P 1.55
O: 0.4300 0.6362 0.2718  1 P 1.51
O: 0.4862 0.1301 0.3690  1 P 1.54
O: 0.5658 0.3480 0.7283  1 P 1.53
O: 0.5791 0.6844 0.9186  1 P 1.55
O: 0.6301 0.9862 0.8690  1 P 1.54
O: 0.6362 0.2718 0.4300  1 P 1.51
O: 0.6844 0.9186 0.5791  1 P 1.55
O: 0.7283 0.5658 0.3480  1 P 1.53
O: 0.7718 0.1362 0.9300  1 P 1.51
O: 0.8480 0.0658 0.2283  1 P 1.53
O: 0.8690 0.6301 0.9862  1 P 1.54
O: 0.9186 0.5791 0.6844  1 P 1.55
O: 0.9300 0.7718 0.1362  1 P 1.51
O: 0.9862 0.8690 0.6301  1 P 1.54

Summary:
final energy	-10.698	eV per atom
DOS at the Fermi energy	0.17	states/eV/atom